First-principles (PBE-GGA) data for a geometry-optimized TlCrIr2 structure, as listed in Alexandria via LeMat-Bulk.

a = 2.8429 Å, b = 2.8429 Å, c = 7.8361 Å
α = 90.00°, β = 90.00°, γ = 90.00°
Fractional positions:
Tl 0.0000 0.0000 0.0000
Cr 0.0000 0.0000 0.5000
Ir 0.5000 0.5000 0.2909
Ir 0.5000 0.5000 0.7091

Output
The formation energy is 0.198 eV/atom. As for the calculated total energy: -7.23 eV per atom. The energy above the most stable polymorph in this dataset is 0 meV/atom.